i | LaSb2IBr: relaxed, PBE-GGA.

Values from the calculation:
**Crystal system**: tetragonal

a = 6.309 Å, b = 6.309 Å, c = 6.108 Å
α = 90.00°, β = 90.00°, γ = 90.00°
Atoms (fractional coordinates):
1 Sb 0.000 0.500 0.000
2 Sb 0.500 0.000 0.000
3 I 0.000 0.000 0.500
4 Br 0.500 0.500 0.500
5 La 0.000 0.000 0.000

=====

ii | LaSb2IBr: relaxed, PBE-GGA.

Values from the calculation:
**Crystal system**: tetragonal

a = 5.577 Å, b = 5.577 Å, c = 5.569 Å
α = 90.00°, β = 90.00°, γ = 90.00°
Atoms (fractional coordinates):
1 I 0.000 0.000 0.500
2 Br 0.000 0.000 0.000
3 La 0.500 0.500 0.500
4 Sb 0.500 0.000 0.000
5 Sb 0.000 0.500 0.000

=====

How do the structures above rank in stability at the extremes? i comes first and ii comes last.